# LaCoPb2

A relaxed LaCoPb2 crystal (GGA-PBE, Alexandria via LeMat-Bulk).

Calculated values
ΔH_f (0 K) = -55 meV/atom
Symmetry = Pm
Magnetization = 0.00 μB per formula unit

a = 4.530 Å, b = 3.694 Å, c = 6.607 Å
α = 90.00°, β = 110.05°, γ = 90.00°
Fractional coordinates of all 4 atoms:
La: 0.000 0.000 0.000
Co: 0.539 0.500 0.075
Pb: 0.324 0.500 0.648
Pb: 0.707 0.000 0.413

# DyTiBO5

A relaxed DyTiBO5 crystal (GGA-PBE, Alexandria via LeMat-Bulk).

Calculated values
Symmetry = C2/c
Magnetization = 0.00 μB per formula unit
E_form (uncorrected) = -3.006 eV/atom

a = 5.268 Å, b = 5.268 Å, c = 6.839 Å
α = 103.15°, β = 103.15°, γ = 106.58°
Fractional coordinates of all 16 atoms:
Dy: 0.158 0.842 0.750
Dy: 0.842 0.158 0.250
Ti: 0.500 0.500 0.000
Ti: 0.500 0.500 0.500
B: 0.181 0.819 0.250
B: 0.819 0.181 0.750
O: 0.100 0.243 0.908
O: 0.177 0.615 0.373
O: 0.243 0.100 0.408
O: 0.385 0.823 0.127
O: 0.418 0.582 0.750
O: 0.582 0.418 0.250
O: 0.615 0.177 0.873
O: 0.757 0.900 0.592
O: 0.823 0.385 0.627
O: 0.900 0.757 0.092

# CoSb2Pt

A relaxed CoSb2Pt crystal (GGA-PBE, Alexandria via LeMat-Bulk).

Calculated values
Symmetry = Fm-3m
Magnetization = 0.90 μB per formula unit
E_form (uncorrected) = 0.168 eV/atom

a = 4.718 Å, b = 4.718 Å, c = 4.718 Å
α = 60.00°, β = 60.00°, γ = 60.00°
Fractional coordinates of all 4 atoms:
Co: 0.000 0.000 0.000
Sb: 0.250 0.250 0.250
Sb: 0.750 0.750 0.750
Pt: 0.500 0.500 0.500

# KZr2Sc

A relaxed KZr2Sc crystal (GGA-PBE, Alexandria via LeMat-Bulk).

Calculated values
ΔH_f (0 K) = 702 meV/atom
Symmetry = Immm
Magnetization = 0.00 μB per formula unit

a = 6.771 Å, b = 6.771 Å, c = 6.771 Å
α = 152.31°, β = 130.70°, γ = 57.49°
Fractional coordinates of all 4 atoms:
K: 0.000 0.000 0.000
Zr: 0.271 0.771 0.500
Zr: 0.729 0.229 0.500
Sc: 0.500 0.500 0.000

# Sr2MgZrS5

A relaxed Sr2MgZrS5 crystal (GGA-PBE, Alexandria via LeMat-Bulk).

Calculated values
Symmetry = Cmc2_1
Magnetization = 0.00 μB per formula unit
E_form (uncorrected) = -1.758 eV/atom

a = 8.673 Å, b = 8.673 Å, c = 12.949 Å
α = 90.00°, β = 90.00°, γ = 153.57°
Fractional coordinates of all 18 atoms:
Sr: 0.093 0.907 0.500
Sr: 0.130 0.870 0.139
Sr: 0.870 0.130 0.639
Sr: 0.907 0.093 0.000
Mg: 0.447 0.553 0.283
Mg: 0.553 0.447 0.783
Zr: 0.221 0.779 0.858
Zr: 0.779 0.221 0.358
S: 0.068 0.932 0.890
S: 0.272 0.728 0.496
S: 0.299 0.701 0.229
S: 0.368 0.632 0.831
S: 0.499 0.501 0.613
S: 0.501 0.499 0.113
S: 0.632 0.368 0.331
S: 0.701 0.299 0.729
S: 0.728 0.272 0.996
S: 0.932 0.068 0.390

# CuPdCl2

A relaxed CuPdCl2 crystal (GGA-PBE, Alexandria via LeMat-Bulk).

Calculated values
Symmetry = R-3m
Magnetization = 1.01 μB per formula unit
E_form (uncorrected) = -0.098 eV/atom

a = 7.178 Å, b = 7.178 Å, c = 7.178 Å
α = 33.02°, β = 33.02°, γ = 33.02°
Fractional coordinates of all 4 atoms:
Cu: 0.000 0.000 0.000
Pd: 0.500 0.500 0.500
Cl: 0.104 0.104 0.104
Cl: 0.896 0.896 0.896